(1)
Material: NaMo3P2O14
Method: DFT, GGA+U
State: optimized geometry

space group	P2_1/m
calculated total energy	-7.002	eV per atom

Structure (POSCAR):
```
NaMo3P2O14
1.0
-4.350 -0.067 4.826
-1.172 -8.286 -1.172
6.767 -5.715 6.019
Na Mo P O
2 6 4 28
direct
0.250 0.991 0.773 Na
0.750 0.009 0.227 Na
0.250 0.755 0.173 Mo
0.750 0.245 0.827 Mo
0.250 0.329 0.125 Mo
0.750 0.671 0.875 Mo
0.250 0.740 0.496 Mo
0.750 0.260 0.504 Mo
0.250 0.378 0.802 P
0.750 0.622 0.198 P
0.250 0.346 0.439 P
0.750 0.654 0.561 P
0.250 0.567 0.117 O
0.750 0.433 0.883 O
0.250 0.924 0.026 O
0.750 0.076 0.974 O
0.938 0.738 0.191 O
0.062 0.262 0.809 O
0.438 0.262 0.809 O
0.562 0.738 0.191 O
0.250 0.864 0.299 O
0.750 0.136 0.701 O
0.250 0.893 0.566 O
0.750 0.107 0.434 O
0.468 0.207 0.134 O
0.532 0.793 0.866 O
0.968 0.793 0.866 O
0.032 0.207 0.134 O
0.939 0.726 0.472 O
0.061 0.274 0.528 O
0.439 0.274 0.528 O
0.561 0.726 0.472 O
0.250 0.532 0.672 O
0.750 0.468 0.328 O
0.250 0.441 0.921 O
0.750 0.559 0.079 O
0.250 0.280 0.322 O
0.750 0.720 0.678 O
0.250 0.542 0.387 O
0.750 0.458 0.613 O
```

***

(2)
Material: NaMoP2O7
Method: DFT, GGA+U
State: optimized geometry

space group	P2_1/c
calculated total energy	-7.074	eV per atom

Structure (POSCAR):
```
NaMoP2O7
1.0
-5.932 -5.683 1.303
4.768 -3.991 4.298
-0.498 2.709 9.547
Na Mo P O
4 4 8 28
direct
0.980 0.715 0.786 Na
0.480 0.285 0.714 Na
0.020 0.285 0.214 Na
0.520 0.715 0.286 Na
0.505 0.744 0.750 Mo
0.005 0.256 0.750 Mo
0.495 0.256 0.250 Mo
0.995 0.744 0.250 Mo
0.717 0.328 0.954 P
0.217 0.672 0.546 P
0.283 0.672 0.046 P
0.783 0.328 0.454 P
0.753 0.927 0.958 P
0.253 0.073 0.542 P
0.247 0.073 0.042 P
0.747 0.927 0.458 P
0.667 0.128 0.939 O
0.167 0.872 0.561 O
0.333 0.872 0.061 O
0.833 0.128 0.439 O
0.391 0.627 0.602 O
0.891 0.373 0.898 O
0.609 0.373 0.398 O
0.109 0.627 0.102 O
0.719 0.817 0.620 O
0.219 0.183 0.880 O
0.281 0.183 0.380 O
0.781 0.817 0.120 O
0.410 0.026 0.632 O
0.910 0.974 0.868 O
0.590 0.974 0.368 O
0.090 0.026 0.132 O
0.908 0.459 0.354 O
0.408 0.541 0.146 O
0.092 0.541 0.646 O
0.592 0.459 0.854 O
0.209 0.691 0.388 O
0.709 0.309 0.112 O
0.791 0.309 0.612 O
0.291 0.691 0.888 O
0.870 0.827 0.400 O
0.370 0.173 0.100 O
0.130 0.173 0.600 O
0.630 0.827 0.900 O
```

***

(3)
Material: NaMo2PO8
Method: DFT, GGA+U
State: optimized geometry

space group	Cmmm
calculated total energy	-6.660	eV per atom

Structure (POSCAR):
```
NaMo2PO8
1.0
-2.734 1.718 3.236
2.106 -2.172 3.425
3.750 4.699 0.674
Na Mo P O
1 2 1 8
direct
0.000 0.000 0.500 Na
0.500 0.500 0.765 Mo
0.500 0.500 0.235 Mo
0.000 0.000 0.000 P
0.193 0.806 0.197 O
0.735 0.735 0.000 O
0.807 0.194 0.197 O
0.807 0.194 0.803 O
0.265 0.265 0.000 O
0.193 0.806 0.803 O
0.675 0.676 0.500 O
0.325 0.324 0.500 O
```

***

(4)
Material: NaMoP2O8
Method: DFT, GGA+U
State: optimized geometry

space group	P2_12_12_1
calculated total energy	-6.971	eV per atom

Structure (POSCAR):
```
NaMoP2O8
1.0
5.224 0.000 0.000
0.000 11.385 0.000
0.000 0.000 11.532
Na Mo P O
4 4 8 32
direct
0.667 0.297 0.625 Na
0.333 0.797 0.875 Na
0.833 0.703 0.125 Na
0.167 0.203 0.375 Na
0.260 0.411 0.139 Mo
0.760 0.089 0.861 Mo
0.740 0.911 0.361 Mo
0.240 0.589 0.639 Mo
0.751 0.618 0.826 P
0.249 0.118 0.674 P
0.749 0.382 0.326 P
0.217 0.896 0.550 P
0.283 0.104 0.050 P
0.251 0.882 0.174 P
0.717 0.604 0.450 P
0.783 0.396 0.950 P
0.087 0.071 0.957 O
0.552 0.649 0.732 O
0.027 0.644 0.781 O
0.587 0.429 0.043 O
0.446 0.570 0.489 O
0.973 0.144 0.719 O
0.948 0.351 0.232 O
0.803 0.322 0.439 O
0.052 0.851 0.268 O
0.776 0.055 0.322 O
0.264 0.229 0.093 O
0.946 0.930 0.511 O
0.197 0.822 0.061 O
0.231 0.024 0.163 O
0.731 0.476 0.837 O
0.527 0.856 0.219 O
0.303 0.178 0.561 O
0.269 0.976 0.663 O
0.724 0.945 0.822 O
0.473 0.356 0.281 O
0.697 0.678 0.939 O
0.413 0.929 0.457 O
0.236 0.771 0.593 O
0.769 0.524 0.337 O
0.913 0.571 0.543 O
0.764 0.271 0.907 O
0.276 0.445 0.678 O
0.554 0.070 0.011 O
0.448 0.149 0.768 O
0.054 0.430 0.989 O
0.736 0.729 0.407 O
0.224 0.555 0.178 O
```